Record 1
Computed, not measured: a crystal of La5Sc4 relaxed with PBEsol at the meta-GGA SCAN level of DFT. Values from VASP.

Cell and atoms, written as Quantum ESPRESSO input:
```
&SYSTEM
  ibrav = 0, nat = 9, ntyp = 2
/
ATOMIC_SPECIES
La 138.91 La.upf
Sc 44.96 Sc.upf
CELL_PARAMETERS angstrom
4.8879 0.0000 0.0000
2.4439 7.3320 0.0000
2.4439 0.0000 7.3320
ATOMIC_POSITIONS angstrom
La 0.0000 0.0000 0.0000
La 2.4439 0.0000 2.4827
La 2.4439 2.4827 0.0000
La 4.8879 4.8494 0.0000
La 4.8879 0.0000 4.8494
Sc 2.4439 2.5331 4.7990
Sc 2.4439 4.7990 2.5331
Sc 4.8879 4.7990 4.7990
Sc 4.8879 2.5331 2.5331
```

Total magnetic moment   1.3 μB per formula unit
E   -30.20 eV per atom

=====

Record 2
Computed, not measured: a crystal of Cr4Re relaxed with PBEsol at the meta-GGA SCAN level of DFT. Values from VASP.

Cell and atoms, written as Quantum ESPRESSO input:
```
&SYSTEM
  ibrav = 0, nat = 30, ntyp = 2
/
ATOMIC_SPECIES
Cr 52.00 Cr.upf
Re 186.21 Re.upf
CELL_PARAMETERS angstrom
-3.7196 0.6211 -2.6355
-5.2018 -2.3100 6.7972
-0.4056 8.4752 2.5698
ATOMIC_POSITIONS angstrom
Cr -0.8590 4.2421 2.2120
Cr -4.7485 1.9231 7.1550
Cr -7.1367 3.3636 6.8493
Cr -2.1904 3.4227 -0.1178
Cr -3.8323 -0.2694 1.3294
Cr -5.4948 7.0558 5.4021
Cr -2.8288 -0.1875 3.9483
Cr -2.7786 6.3527 5.4187
Cr -0.4463 2.1028 1.1254
Cr -5.1612 4.0624 8.2416
Cr -3.3071 4.5586 1.7260
Cr -6.0200 2.2277 5.0056
Cr -4.4330 5.7965 3.6067
Cr -4.8941 0.9898 3.1248
Cr -1.4092 -0.0627 1.9742
Cr -4.1982 6.2279 7.3928
Cr -2.6672 2.0858 2.2953
Cr -4.7563 4.3827 5.7850
Cr -4.0669 6.9283 1.3961
Cr -7.0763 0.1612 4.0486
Cr -2.2508 6.6251 2.6829
Cr -5.2602 -0.1420 5.3354
Cr -4.5708 2.4036 0.9465
Cr -6.6598 4.7005 4.4363
Re 0.0000 0.0000 0.0000
Re -4.6635 3.3932 3.3658
Re -2.2791 4.2624 4.2211
Re -3.3284 1.9028 5.1460
Re -6.8539 5.8013 7.0246
Re -2.4732 0.9850 -0.2931
```

Total magnetic moment   0.0 μB per formula unit
E   -28.83 eV per atom

=====

Record 3
Computed, not measured: a crystal of Nb3Ir relaxed with PBEsol at the meta-GGA SCAN level of DFT. Values from VASP.

Cell and atoms, written as Quantum ESPRESSO input:
```
&SYSTEM
  ibrav = 0, nat = 8, ntyp = 2
/
ATOMIC_SPECIES
Nb 92.91 Nb.upf
Ir 192.22 Ir.upf
CELL_PARAMETERS angstrom
-4.8789 1.1050 1.1025
0.9407 -0.8054 4.9705
1.2456 4.9366 0.5642
ATOMIC_POSITIONS angstrom
Nb -2.2043 0.3512 1.7939
Nb -1.7339 -0.0516 4.2791
Nb -0.5969 2.7446 0.5577
Nb -3.0364 3.2971 1.1089
Nb 0.7818 0.8314 2.6263
Nb 1.4046 3.2997 2.9084
Ir -1.3463 2.6181 3.3186
Ir 0.0000 0.0000 0.0000
```

Total magnetic moment   0.0 μB per formula unit
E   -43.18 eV per atom

=====

Record 4
Computed, not measured: a crystal of BeCd2FeOs relaxed with PBEsol at the meta-GGA SCAN level of DFT. Values from VASP.

Cell and atoms, written as Quantum ESPRESSO input:
```
&SYSTEM
  ibrav = 0, nat = 5, ntyp = 4
/
ATOMIC_SPECIES
Be 9.01 Be.upf
Os 190.23 Os.upf
Fe 55.84 Fe.upf
Cd 112.41 Cd.upf
CELL_PARAMETERS angstrom
-3.2828 1.7718 0.6772
-2.2376 -4.1535 0.0200
0.7512 -0.3823 4.6420
ATOMIC_POSITIONS angstrom
Be -1.6414 0.8859 0.3386
Os -2.3845 -1.3820 2.6696
Fe 0.0000 0.0000 0.0000
Cd 0.3756 -0.1912 2.3210
Cd -1.1188 -2.0768 0.0100
```

Total magnetic moment   3.7 μB per formula unit
E   -29.53 eV per atom

=====

Record 5
Computed, not measured: a crystal of BeAs4P relaxed with PBEsol at the meta-GGA SCAN level of DFT. Values from VASP.

Cell and atoms, written as Quantum ESPRESSO input:
```
&SYSTEM
  ibrav = 0, nat = 6, ntyp = 3
/
ATOMIC_SPECIES
P 30.97 P.upf
As 74.92 As.upf
Be 9.01 Be.upf
CELL_PARAMETERS angstrom
-4.9210 -1.9869 0.8755
-0.5807 -4.8449 2.2628
-1.8785 -0.4146 5.0230
ATOMIC_POSITIONS angstrom
P 0.0000 0.0000 0.0000
As -2.7688 -2.7186 3.0618
As -3.7069 -2.9256 5.5700
As -5.2261 -3.7108 3.4990
As -3.0588 -5.1379 4.1917
Be -5.5352 -5.4348 6.1209
```

Total magnetic moment   0.0 μB per formula unit
E   -14.96 eV per atom

=====

Record 6
Computed, not measured: a crystal of Li7Ir relaxed with PBEsol at the meta-GGA SCAN level of DFT. Values from VASP.

Cell and atoms, written as Quantum ESPRESSO input:
```
&SYSTEM
  ibrav = 0, nat = 8, ntyp = 2
/
ATOMIC_SPECIES
Ir 192.22 Ir.upf
Li 6.94 Li.upf
CELL_PARAMETERS angstrom
-4.1163 1.7672 -3.1523
-0.2214 -1.4436 -5.2793
-3.8349 -3.5124 -1.7204
ATOMIC_POSITIONS angstrom
Ir 0.0000 0.0000 0.0000
Li -1.9175 -1.7562 -0.8602
Li -0.1107 -0.7218 -2.6396
Li -2.0581 0.8836 -1.5761
Li -2.1688 0.1618 -4.2158
Li -3.9756 -0.8726 -2.4363
Li -2.0282 -2.4780 -3.4998
Li -4.0863 -1.5944 -5.0760
```

Total magnetic moment   0.1 μB per formula unit
E   -10.99 eV per atom